ZnCoF | PBE+U | optimized geometry

Cell: 11.697 2.770 4.712 Å, 90.00 90.00 90.00°
Fractional positions:
Zn  0.000  0.000  0.000
Zn  0.000  0.500  0.500
Zn  0.500  0.000  0.334
Zn  0.500  0.500  0.834
Co  0.319  0.000  0.663
Co  0.319  0.500  0.163
Co  0.681  0.000  0.663
Co  0.681  0.500  0.163
F  0.201  0.000  0.997
F  0.201  0.500  0.497
F  0.799  0.000  0.997
F  0.799  0.500  0.497

## Properties
E_tot ... -3.479 eV per atom
Symmetry ... Amm2, No. 38
Spin magnetization ... 0.727 μB/atom